1.
Density functional theory data (PBE) for a relaxed GaReBiPb2 crystal.

Summary:
- Magnetic moment: 0.80 μB per atom
- Formation enthalpy at 0 K: 1.78 eV/atom

Lattice parameters (Å, degrees): 6.0325 5.3690 6.0325 90.00 90.00 90.00
Site moments in Bohr magnetons follow the coordinates.
Fractional positions:
Pb 0.0000 0.0000 0.5000  -0.07
Pb 0.5000 0.0000 0.0000  -0.10
Re 0.5000 0.5000 0.5000  3.67
Bi 0.0000 0.0000 0.0000  0.01
Ga 0.0000 0.5000 0.0000  0.00


2.
Density functional theory data (PBE) for a relaxed GaBi2RuPb crystal.

Summary:
- Magnetic moment: 0.00 μB per atom
- Formation enthalpy at 0 K: 0.42 eV/atom

Lattice parameters (Å, degrees): 5.3231 5.2921 5.3231 90.00 90.00 90.00
Fractional positions:
Pb 0.0000 0.5000 0.0000
Ru 0.0000 0.0000 0.0000
Bi 0.0000 0.0000 0.5000
Bi 0.5000 0.0000 0.0000
Ga 0.5000 0.5000 0.5000


3.
Density functional theory data (PBE) for a relaxed GaBiPbS4 crystal.

Summary:
- Magnetic moment: 0.00 μB per atom
- Energy relative to the elements, uncorrected: -0.453 eV per atom

Lattice parameters (Å, degrees): 6.7201 6.9064 8.0232 90.00 107.16 90.00
Fractional positions:
Ga 0.2363 0.7500 0.3071
Ga 0.7637 0.2500 0.6929
Bi 0.7649 0.7500 0.4485
Bi 0.2351 0.2500 0.5515
Pb 0.7626 0.7500 0.9330
Pb 0.2374 0.2500 0.0670
S 0.9899 0.5048 0.7438
S 0.0101 0.0048 0.2562
S 0.0101 0.4952 0.2562
S 0.9899 0.9952 0.7438
S 0.4544 0.7500 0.1392
S 0.5456 0.2500 0.8608
S 0.4499 0.7500 0.5903
S 0.5501 0.2500 0.4097


4.
Density functional theory data (PBE) for a relaxed GaBiPb2S5 crystal.

Summary:
- Magnetic moment: 0.00 μB per atom
- Energy relative to the elements, uncorrected: -0.524 eV per atom

Lattice parameters (Å, degrees): 3.9510 9.1749 12.6567 90.00 90.00 102.43
Fractional positions:
Ga 0.5504 0.1008 0.9249
Ga 0.4496 0.8992 0.4249
Bi 0.7978 0.5956 0.5305
Bi 0.2022 0.4044 0.0305
Pb 0.8761 0.7522 0.8266
Pb 0.1210 0.2420 0.6754
Pb 0.1239 0.2478 0.3266
Pb 0.8790 0.7580 0.1754
S 0.3525 0.7050 0.0135
S 0.6743 0.3485 0.8698
S 0.4861 0.9723 0.7719
S 0.2879 0.5758 0.6843
S 0.9668 0.9335 0.5270
S 0.6475 0.2950 0.5135
S 0.3257 0.6515 0.3698
S 0.5139 0.0277 0.2719
S 0.7121 0.4242 0.1843
S 0.0332 0.0665 0.0270


5.
Density functional theory data (PBE) for a relaxed GaBiSbPb crystal.

Summary:
- Magnetic moment: 0.00 μB per atom
- Energy relative to the elements, uncorrected: 0.118 eV per atom

Lattice parameters (Å, degrees): 5.3952 5.3952 5.3952 60.00 60.00 60.00
Fractional positions:
Pb 0.7500 0.7500 0.7500
Sb 0.5000 0.5000 0.5000
Bi 0.0000 0.0000 0.0000
Ga 0.2500 0.2500 0.2500


6.
Density functional theory data (PBE) for a relaxed ScGaBiPb2 crystal.

Summary:
- Magnetic moment: 0.00 μB per atom
- Formation enthalpy at 0 K: 0.64 eV/atom

Lattice parameters (Å, degrees): 6.4151 6.4151 6.3945 90.00 90.00 90.00
Fractional positions:
Pb 0.0000 0.5000 0.0000
Pb 0.5000 0.0000 0.0000
Sc 0.0000 0.0000 0.0000
Bi 0.0000 0.0000 0.5000
Ga 0.5000 0.5000 0.5000


7.
Density functional theory data (PBE) for a relaxed Ga2BiPbSe crystal.

Summary:
- Magnetic moment: 0.00 μB per atom
- Energy relative to the elements, uncorrected: 0.608 eV per atom

Lattice parameters (Å, degrees): 5.4258 6.0400 5.4258 90.00 90.00 90.00
Fractional positions:
Pb 0.0000 0.0000 0.0000
Ga 0.0000 0.0000 0.5000
Ga 0.5000 0.0000 0.0000
Bi 0.0000 0.5000 0.0000
Se 0.5000 0.5000 0.5000


8.
Density functional theory data (PBE) for a relaxed GaSnBiPb crystal.

Summary:
- Magnetic moment: 0.00 μB per atom
- Formation enthalpy at 0 K: 0.09 eV/atom
- Offset from the most stable computed form: 0.0219 eV/atom

Lattice parameters (Å, degrees): 5.4202 5.4202 5.4202 60.00 60.00 60.00
Fractional positions:
Pb 0.5000 0.5000 0.5000
Bi 0.0000 0.0000 0.0000
Ga 0.7500 0.7500 0.7500
Sn 0.2500 0.2500 0.2500


9.
Density functional theory data (PBE) for a relaxed GaSn2BiPb crystal.

Summary:
- Magnetic moment: 0.00 μB per atom
- Formation enthalpy at 0 K: 0.63 eV/atom

Lattice parameters (Å, degrees): 5.9406 5.3342 5.9406 90.00 90.00 90.00
Fractional positions:
Pb 0.5000 0.5000 0.5000
Bi 0.0000 0.0000 0.0000
Ga 0.0000 0.5000 0.0000
Sn 0.0000 0.0000 0.5000
Sn 0.5000 0.0000 0.0000


10.
Density functional theory data (PBE) for a relaxed GaSnBiPb crystal.

Summary:
- Magnetic moment: 0.00 μB per atom
- Formation enthalpy at 0 K: 0.06 eV/atom
- Offset from the most stable computed form: 0.0000 eV/atom

Lattice parameters (Å, degrees): 3.3234 3.3234 10.2000 90.00 90.00 90.00
Fractional positions:
Ga 0.5000 0.5000 0.3334
Sn 0.0000 0.0000 0.5477
Bi 0.0000 0.0000 0.0991
Pb 0.5000 0.5000 0.8045


11.
Density functional theory data (PBE) for a relaxed GaBiTePb2 crystal.

Summary:
- Magnetic moment: 0.00 μB per atom
- Energy relative to the elements, uncorrected: 0.404 eV per atom

Lattice parameters (Å, degrees): 6.0281 5.4218 6.0281 90.00 90.00 90.00
Fractional positions:
Pb 0.0000 0.0000 0.5000
Pb 0.5000 0.0000 0.0000
Te 0.0000 0.0000 0.0000
Bi 0.5000 0.5000 0.5000
Ga 0.0000 0.5000 0.0000


12.
Density functional theory data (PBE) for a relaxed TlGaBiPb crystal.

Summary:
- Magnetic moment: 0.00 μB per atom
- Formation enthalpy at 0 K: 0.07 eV/atom
- Offset from the most stable computed form: 0.0293 eV/atom

Lattice parameters (Å, degrees): 5.5227 5.5227 5.5227 60.00 60.00 60.00
Fractional positions:
Pb 0.7500 0.7500 0.7500
Tl 0.5000 0.5000 0.5000
Bi 0.0000 0.0000 0.0000
Ga 0.2500 0.2500 0.2500